# KNdAg3Se4 | OQMD via LeMat-Bulk | PBE-GGA | relaxed
# - E_tot (eV per atom) = -3.77
data_KNdAg3Se4
_symmetry_space_group_name_H-M 'P 1'
_symmetry_Int_Tables_number 1
_cell_length_a 6.684
_cell_length_b 6.684
_cell_length_c 6.684
_cell_angle_alpha 90.00
_cell_angle_beta 90.00
_cell_angle_gamma 90.00
loop_
_symmetry_equiv_pos_as_xyz
'x,y,z'
loop_
_atom_site_label
_atom_site_fract_x
_atom_site_fract_y
_atom_site_fract_z
K1 0.000 0.000 0.000
Nd1 0.500 0.500 0.500
Ag1 0.000 0.500 0.500
Ag2 0.500 0.000 0.500
Ag3 0.500 0.500 0.000
Se1 0.263 0.263 0.263
Se2 0.263 0.737 0.737
Se3 0.737 0.263 0.737
Se4 0.737 0.737 0.263